1.
YTeAs2 | PBE | relaxed

formation energy (no corrections): -2.3 eV per formula unit
symmetry: No. 44
calculated total energy: -5.29 eV per atom

```
YTeAs2
1.0
-1.975 2.545 4.692
1.975 -2.545 4.692
1.975 2.545 -4.692
Y Te As
1 1 2
direct
0.000 0.000 0.000 Y
0.276 0.776 0.500 Te
0.514 0.514 0.000 As
0.697 0.197 0.500 As
```

2.
CdCoCl6 | PBE | relaxed

formation energy (no corrections): -4.6 eV per formula unit
symmetry: No. 12
calculated total energy: -2.96 eV per atom

```
CdCoCl6
1.0
3.104 -5.848 0.000
3.104 5.848 0.000
-2.207 0.000 5.946
Cd Co Cl
1 1 6
direct
0.000 0.000 0.000 Cd
0.500 0.500 0.500 Co
0.152 0.430 0.265 Cl
0.255 0.255 0.679 Cl
0.430 0.152 0.265 Cl
0.570 0.848 0.735 Cl
0.745 0.745 0.321 Cl
0.848 0.570 0.735 Cl
```

3.
Ce8Sn2Pb | PBE | relaxed

DFT formation energy: -0.242 eV per atom
symmetry: No. 12
calculated total energy: -5.62 eV per atom

```
Ce8Sn2Pb
1.0
4.298 -7.013 0.000
4.298 7.013 0.000
-2.225 0.000 5.415
Ce Sn Pb
8 2 1
direct
0.081 0.276 0.590 Ce
0.235 0.765 0.000 Ce
0.276 0.081 0.590 Ce
0.410 0.410 0.147 Ce
0.590 0.590 0.853 Ce
0.724 0.919 0.410 Ce
0.765 0.235 0.000 Ce
0.919 0.724 0.410 Ce
0.311 0.689 0.500 Sn
0.689 0.311 0.500 Sn
0.000 0.000 0.000 Pb
```

4.
CaTcPb2 | PBE | relaxed

DFT formation energy: 0.370 eV per atom
symmetry: No. 6
relative energy among the computed polymorphs: 247 meV/atom
calculated total energy: -4.58 eV per atom

```
CaTcPb2
1.0
3.473 0.000 0.000
0.000 5.162 0.000
-1.697 0.000 5.575
Ca Tc Pb
1 1 2
direct
0.000 0.000 0.000 Ca
0.395 0.500 0.759 Tc
0.275 0.000 0.546 Pb
0.644 0.500 0.290 Pb
```

5.
Ac7Pm4Nd | PBE | relaxed

DFT formation energy: 0.035 eV per atom
symmetry: No. 2
calculated total energy: -4.34 eV per atom

```
Ac7Pm4Nd
1.0
6.736 0.000 0.000
0.012 7.724 0.000
2.209 0.056 9.361
Ac Pm Nd
7 4 1
direct
0.000 0.000 0.000 Ac
0.220 0.500 0.332 Ac
0.282 0.755 0.663 Ac
0.497 0.248 0.995 Ac
0.503 0.752 0.005 Ac
0.718 0.245 0.337 Ac
0.780 0.500 0.668 Ac
0.217 0.000 0.335 Pm
0.274 0.248 0.668 Pm
0.726 0.752 0.332 Pm
0.783 0.000 0.665 Pm
0.000 0.500 0.000 Nd
```

6.
SrAgI3 | PBE | relaxed

formation energy (no corrections): -3.1 eV per formula unit
symmetry: No. 221
relative energy among the computed polymorphs: 487 meV/atom
calculated total energy: -2.45 eV per atom

```
SrAgI3
1.0
6.365 0.000 0.000
0.000 6.365 0.000
0.000 0.000 6.365
Sr Ag I
1 1 3
direct
0.000 0.000 0.000 Sr
0.500 0.500 0.500 Ag
0.000 0.000 0.500 I
0.000 0.500 0.000 I
0.500 0.000 0.000 I
```

| no. | D(E_F) (states/eV per atom) |
| --- | --- |
| 1 | 0.449 |
| 2 | 0.561 |
| 3 | 3.139 |
| 4 | 0.913 |
| 5 | 1.690 |
| 6 | 0.000 |